A | Compound: In2PbI
Source: the Alexandria database
Functional: GGA-PBE
Structure: relaxed

POSCAR file:
```
In2PbI
1.0
1.950 1.126 9.947
-1.950 1.126 9.947
0.000 -2.252 9.947
In Pb I
2 1 1
direct
0.000 0.000 0.000
0.165 0.165 0.165
0.584 0.584 0.584
0.414 0.414 0.414
```

Results
* total magnetic moment: 0.00 μB per cell

B | Compound: In2PbI
Source: the Alexandria database
Functional: GGA-PBE
Structure: relaxed

POSCAR file:
```
In2PbI
1.0
0.000 3.995 3.995
3.995 0.000 3.995
3.995 3.995 0.000
In Pb I
2 1 1
direct
0.250 0.250 0.250
0.750 0.750 0.750
0.000 0.000 0.000
0.500 0.500 0.500
```

Results
* total magnetic moment: 0.00 μB per cell

C | Compound: In2PbI
Source: the Alexandria database
Functional: GGA-PBE
Structure: relaxed

POSCAR file:
```
In2PbI
1.0
-3.487 3.487 7.740
3.487 -3.487 7.740
3.487 3.487 -7.740
In Pb I
4 2 2
direct
0.088 0.625 0.963
0.375 0.338 0.463
0.662 0.125 0.037
0.875 0.912 0.537
0.000 0.000 0.000
0.750 0.250 0.500
0.250 0.750 0.500
0.500 0.500 0.000
```

Results
* total magnetic moment: 0.00 μB per cell

Stability ranking, top and bottom: A is the most stable and C is the least stable.

A | Compound: In2PbI
Source: the Alexandria database
Functional: GGA-PBE
Structure: relaxed

POSCAR file:
```
In2PbI
1.0
2.301 1.328 7.658
-2.301 1.328 7.658
0.000 -2.657 7.658
In Pb I
2 1 1
direct
0.236 0.236 0.236
0.764 0.764 0.764
0.500 0.500 0.500
0.000 0.000 0.000
```

Results
* total magnetic moment: 0.00 μB per cell

B | Compound: In2PbI
Source: the Alexandria database
Functional: GGA-PBE
Structure: relaxed

POSCAR file:
```
In2PbI
1.0
3.799 0.000 0.000
0.000 3.799 0.000
0.000 0.000 8.824
In Pb I
2 1 1
direct
0.000 0.000 0.243
0.000 0.000 0.757
0.500 0.500 0.000
0.500 0.500 0.500
```

Results
* total magnetic moment: 0.00 μB per cell

C | Compound: In2PbI
Source: the Alexandria database
Functional: GGA-PBE
Structure: relaxed

POSCAR file:
```
In2PbI
1.0
5.887 0.000 0.000
0.000 5.887 0.000
0.000 0.000 3.740
In Pb I
2 1 1
direct
0.000 0.500 0.000
0.500 0.000 0.000
0.000 0.000 0.500
0.500 0.500 0.500
```

Results
* total magnetic moment: 0.00 μB per cell

Stability ranking, top and bottom: C is the most stable and A is the least stable.

A | Compound: In2PbI6
Source: the Alexandria database
Functional: GGA-PBE
Structure: relaxed

POSCAR file:
```
In2PbI6
1.0
7.563 -7.316 0.000
7.563 7.316 0.000
-4.081 0.000 8.992
In Pb I
4 2 12
direct
0.088 0.283 0.249
0.283 0.088 0.749
0.717 0.912 0.251
0.912 0.717 0.751
0.425 0.575 0.750
0.575 0.425 0.250
0.128 0.147 0.960
0.135 0.538 0.762
0.147 0.128 0.460
0.300 0.504 0.380
0.462 0.865 0.738
0.496 0.700 0.120
0.504 0.300 0.880
0.538 0.135 0.262
0.700 0.496 0.620
0.853 0.872 0.540
0.865 0.462 0.238
0.872 0.853 0.040
```

Results
* total magnetic moment: 0.00 μB per cell

B | Compound: In2PbI6
Source: the Alexandria database
Functional: GGA-PBE
Structure: relaxed

POSCAR file:
```
In2PbI6
1.0
4.115 2.376 6.927
-4.115 2.376 6.927
0.000 -4.752 6.927
In Pb I
2 1 6
direct
0.000 0.000 0.000
0.199 0.199 0.199
0.807 0.807 0.807
0.121 0.764 0.353
0.226 0.665 0.842
0.353 0.121 0.764
0.665 0.842 0.226
0.764 0.353 0.121
0.842 0.226 0.665
```

Results
* total magnetic moment: 0.00 μB per cell

Stability ranking, top and bottom: B is the most stable and A is the least stable.